<P>
Material: MgPtW
Method: DFT, GGA-PBE
State: relaxed

Values from the calculation:
D(E_F) = 0.709 states/eV/f.u.
crystal system = orthorhombic
symmetry = Amm2 (38)

```
MgPtW
1.0
3.411 0.000 0.000
0.000 2.270 6.344
0.000 -2.270 6.344
Mg Pt W
2 2 2
direct
0.000 0.000 0.000
0.000 0.327 0.327
0.500 0.166 0.166
0.500 0.836 0.836
0.000 0.657 0.657
0.500 0.511 0.511
```

=====

<Q>
Material: MgPtW
Method: DFT, GGA-PBE
State: relaxed

Values from the calculation:
D(E_F) = 1.320 states/eV/f.u.
crystal system = monoclinic
symmetry = Pm (6)

```
MgPtW
1.0
2.878 0.000 0.000
0.000 3.783 0.000
-0.454 0.000 9.002
Mg Pt W
2 2 2
direct
0.000 0.000 0.000
0.035 0.000 0.321
0.483 0.500 0.834
0.522 0.500 0.172
0.550 0.500 0.503
0.927 0.000 0.661
```

=====

<R>
Material: MgPtW
Method: DFT, GGA-PBE
State: relaxed

Values from the calculation:
D(E_F) = 4.196 states/eV/f.u.
crystal system = hexagonal
symmetry = P6_3/mmc (194)

```
MgPtW
1.0
4.886 0.000 0.000
-2.443 4.231 0.000
0.000 0.000 9.624
Mg Pt W
2 2 2
direct
0.333 0.667 0.250
0.667 0.333 0.750
0.000 0.000 0.000
0.000 0.000 0.500
0.000 0.000 0.250
0.000 0.000 0.750
```

=====

Energy ordering: <Q> at the bottom, the next structure 85 meV per atom above.